Entry 1:
The following is a PBEsol calculation of In3IrF after structural relaxation, from Alexandria.

Computed properties:
Fermi-level density of states	1.7	states/eV/f.u.
total magnetic moment	0.000	μB per atom
uncorrected energy	-4.654	eV/atom
raw formation energy	-514	meV per atom

Unit cell a=5.068 b=5.068 c=5.068 alpha=90.00 beta=90.00 gamma=90.00
Sites, in units of the cell vectors:
F  0.500  0.500  0.500
Ir  0.000  0.000  0.000
In  0.000  0.500  0.000
In  0.000  0.000  0.500
In  0.500  0.000  0.000

***

Entry 2:
The following is a PBEsol calculation of InIrF3 after structural relaxation, from Alexandria.

Computed properties:
Fermi-level density of states	8.8	states/eV/f.u.
total magnetic moment	0.381	μB per atom
uncorrected energy	-4.175	eV/atom
raw formation energy	-458	meV per atom

Unit cell a=4.225 b=4.225 c=4.225 alpha=90.00 beta=90.00 gamma=90.00
Last column: magnetic moment on the atom in μB.
Sites, in units of the cell vectors:
F  0.000  0.500  0.000  0.02
F  0.000  0.000  0.500  0.02
F  0.500  0.000  0.000  0.02
Ir  0.500  0.500  0.500  1.76
In  0.000  0.000  0.000  -0.02

***

Entry 3:
The following is a PBEsol calculation of KInIr2F after structural relaxation, from Alexandria.

Computed properties:
Fermi-level density of states	7.7	states/eV/f.u.
total magnetic moment	0.360	μB per atom
uncorrected energy	-2.789	eV/atom
raw formation energy	2350	meV per atom

Unit cell a=4.615 b=4.615 c=6.157 alpha=90.00 beta=90.00 gamma=90.00
Last column: magnetic moment on the atom in μB.
Sites, in units of the cell vectors:
K  0.000  0.000  0.000  0.00
Ir  0.000  0.500  0.000  0.85
Ir  0.500  0.000  0.000  0.85
F  0.500  0.500  0.500  0.04
In  0.000  0.000  0.500  0.01

***

Entry 4:
The following is a PBEsol calculation of InSbIr2F after structural relaxation, from Alexandria.

Computed properties:
Fermi-level density of states	4.5	states/eV/f.u.
total magnetic moment	0.003	μB per atom
uncorrected energy	-5.537	eV/atom
raw formation energy	286	meV per atom

Unit cell a=4.079 b=4.886 c=4.886 alpha=90.00 beta=90.00 gamma=90.00
Sites, in units of the cell vectors:
Sb  0.000  0.000  0.000
F  0.500  0.000  0.000
Ir  0.000  0.000  0.500
Ir  0.000  0.500  0.000
In  0.500  0.500  0.500

***

Entry 5:
The following is a PBEsol calculation of ZnInIr2F after structural relaxation, from Alexandria.

Computed properties:
Fermi-level density of states	7.1	states/eV/f.u.
total magnetic moment	0.000	μB per atom
uncorrected energy	-4.702	eV/atom
raw formation energy	526	meV per atom

Unit cell a=3.674 b=4.727 c=4.727 alpha=90.00 beta=90.00 gamma=90.00
Sites, in units of the cell vectors:
Zn  0.000  0.000  0.000
Ir  0.000  0.000  0.500
Ir  0.000  0.500  0.000
F  0.500  0.000  0.000
In  0.500  0.500  0.500

***

Entry 6:
The following is a PBEsol calculation of KInF3 after structural relaxation, from Alexandria.

Computed properties:
Fermi-level density of states	0.0	states/eV/f.u.
total magnetic moment	0.000	μB per atom
uncorrected energy	-4.412	eV/atom
raw formation energy	-2432	meV per atom

Unit cell a=6.465 b=6.465 c=6.465 alpha=60.00 beta=60.00 gamma=60.00
Sites, in units of the cell vectors:
K  0.750  0.750  0.750
K  0.250  0.250  0.250
In  0.500  0.500  0.500
In  0.000  0.000  0.000
F  0.772  0.228  0.228
F  0.772  0.772  0.228
F  0.228  0.772  0.772
F  0.772  0.228  0.772
F  0.228  0.772  0.228
F  0.228  0.228  0.772

***

Entry 7:
The following is a PBEsol calculation of KIn2F7 after structural relaxation, from Alexandria.

Computed properties:
Fermi-level density of states	0.0	states/eV/f.u.
total magnetic moment	0.000	μB per atom
uncorrected energy	-4.681	eV/atom
raw formation energy	-2622	meV per atom

Unit cell a=6.661 b=8.181 c=10.804 alpha=90.00 beta=90.00 gamma=90.00
Sites, in units of the cell vectors:
K  0.250  0.750  0.250
K  0.750  0.250  0.750
K  0.751  0.750  0.750
K  0.249  0.250  0.250
In  0.750  0.504  0.058
In  0.250  0.004  0.942
In  0.250  0.496  0.942
In  0.750  0.996  0.058
In  0.750  0.996  0.442
In  0.250  0.496  0.558
In  0.250  0.004  0.558
In  0.750  0.504  0.442
F  0.061  0.523  0.106
F  0.939  0.023  0.894
F  0.939  0.477  0.894
F  0.061  0.977  0.106
F  0.439  0.523  0.106
F  0.561  0.023  0.894
F  0.561  0.477  0.894
F  0.439  0.977  0.106
F  0.061  0.522  0.393
F  0.939  0.022  0.607
F  0.939  0.478  0.607
F  0.061  0.978  0.393
F  0.750  0.750  0.005
F  0.250  0.250  0.995
F  0.250  0.750  0.912
F  0.750  0.250  0.088
F  0.750  0.750  0.494
F  0.250  0.250  0.506
F  0.250  0.750  0.588
F  0.750  0.250  0.412
F  0.750  0.947  0.250
F  0.250  0.447  0.750
F  0.250  0.053  0.750
F  0.750  0.553  0.250
F  0.439  0.978  0.393
F  0.561  0.478  0.607
F  0.561  0.022  0.607
F  0.439  0.522  0.393

***

Entry 8:
The following is a PBEsol calculation of K5In3F14 after structural relaxation, from Alexandria.

Computed properties:
Fermi-level density of states	0.0	states/eV/f.u.
total magnetic moment	0.013	μB per atom
uncorrected energy	-4.607	eV/atom
raw formation energy	-2716	meV per atom

Unit cell a=7.938 b=7.938 c=11.800 alpha=90.00 beta=90.00 gamma=90.00
Sites, in units of the cell vectors:
K  0.716  0.216  0.250
K  0.284  0.784  0.250
K  0.784  0.716  0.750
K  0.216  0.284  0.750
K  0.216  0.284  0.250
K  0.784  0.716  0.250
K  0.716  0.216  0.750
K  0.284  0.784  0.750
K  0.000  0.000  0.500
K  0.500  0.500  0.000
In  0.500  0.000  0.500
In  0.000  0.500  0.000
In  0.000  0.500  0.500
In  0.500  0.000  0.000
In  0.500  0.500  0.500
In  0.000  0.000  0.000
F  0.748  0.593  0.500
F  0.252  0.407  0.500
F  0.752  0.093  0.000
F  0.248  0.907  0.000
F  0.593  0.252  0.500
F  0.407  0.748  0.500
F  0.093  0.248  0.000
F  0.907  0.752  0.000
F  0.683  0.955  0.379
F  0.317  0.045  0.379
F  0.817  0.455  0.879
F  0.183  0.545  0.879
F  0.955  0.317  0.379
F  0.045  0.683  0.379
F  0.455  0.183  0.879
F  0.545  0.817  0.879
F  0.317  0.045  0.621
F  0.683  0.955  0.621
F  0.183  0.545  0.121
F  0.817  0.455  0.121
F  0.045  0.683  0.621
F  0.955  0.317  0.621
F  0.545  0.817  0.121
F  0.455  0.183  0.121
F  0.500  0.500  0.326
F  0.000  0.000  0.826
F  0.500  0.500  0.674
F  0.000  0.000  0.174

***

Entry 9:
The following is a PBEsol calculation of K2MnInF after structural relaxation, from Alexandria.

Computed properties:
Fermi-level density of states	2.1	states/eV/f.u.
total magnetic moment	0.725	μB per atom
uncorrected energy	-3.340	eV/atom
raw formation energy	47	meV per atom

Unit cell a=4.985 b=6.290 c=6.290 alpha=90.00 beta=90.00 gamma=90.00
Last column: magnetic moment on the atom in μB.
Sites, in units of the cell vectors:
K  0.000  0.000  0.500  0.01
K  0.000  0.500  0.000  0.01
Mn  0.000  0.000  0.000  3.71
F  0.500  0.500  0.500  -0.02
In  0.500  0.000  0.000  -0.13

***

Entry 10:
The following is a PBEsol calculation of KInN2F after structural relaxation, from Alexandria.

Computed properties:
Fermi-level density of states	2.0	states/eV/f.u.
total magnetic moment	0.584	μB per atom
uncorrected energy	-4.540	eV/atom
raw formation energy	79	meV per atom

Unit cell a=4.285 b=4.285 c=4.527 alpha=90.00 beta=90.00 gamma=90.00
Last column: magnetic moment on the atom in μB.
Sites, in units of the cell vectors:
N  0.000  0.500  0.000  0.97
N  0.500  0.000  0.000  0.97
K  0.500  0.500  0.500  0.01
F  0.000  0.000  0.500  0.03
In  0.000  0.000  0.000  -0.01

***

Entry 11:
The following is a PBEsol calculation of K2NaInF6 after structural relaxation, from Alexandria.

Computed properties:
Fermi-level density of states	0.0	states/eV/f.u.
total magnetic moment	0.000	μB per atom
uncorrected energy	-4.562	eV/atom
raw formation energy	-2741	meV per atom

Unit cell a=6.057 b=6.057 c=6.057 alpha=60.00 beta=60.00 gamma=60.00
Sites, in units of the cell vectors:
K  0.750  0.750  0.750
K  0.250  0.250  0.250
Na  0.500  0.500  0.500
In  0.000  0.000  0.000
F  0.758  0.242  0.242
F  0.758  0.758  0.242
F  0.242  0.758  0.758
F  0.758  0.242  0.758
F  0.242  0.758  0.242
F  0.242  0.242  0.758

***

Entry 12:
The following is a PBEsol calculation of KInP2F after structural relaxation, from Alexandria.

Computed properties:
Fermi-level density of states	2.4	states/eV/f.u.
total magnetic moment	0.000	μB per atom
uncorrected energy	-3.444	eV/atom
raw formation energy	81	meV per atom

Unit cell a=4.668 b=4.668 c=4.807 alpha=90.00 beta=90.00 gamma=90.00
Sites, in units of the cell vectors:
P  0.000  0.500  0.000
P  0.500  0.000  0.000
K  0.500  0.500  0.500
F  0.000  0.000  0.000
In  0.000  0.000  0.500

***

Entry 13:
The following is a PBEsol calculation of K2RbInF6 after structural relaxation, from Alexandria.

Computed properties:
Fermi-level density of states	0.0	states/eV/f.u.
total magnetic moment	0.000	μB per atom
uncorrected energy	-4.446	eV/atom
raw formation energy	-2662	meV per atom

Unit cell a=6.567 b=6.567 c=6.567 alpha=60.00 beta=60.00 gamma=60.00
Sites, in units of the cell vectors:
K  0.250  0.250  0.250
K  0.750  0.750  0.750
F  0.223  0.777  0.223
F  0.223  0.223  0.777
F  0.777  0.777  0.223
F  0.777  0.223  0.223
F  0.223  0.777  0.777
F  0.777  0.223  0.777
Rb  0.500  0.500  0.500
In  0.000  0.000  0.000

***

Entry 14:
The following is a PBEsol calculation of K2ScInF6 after structural relaxation, from Alexandria.

Computed properties:
Fermi-level density of states	0.0	states/eV/f.u.
total magnetic moment	0.000	μB per atom
uncorrected energy	-5.340	eV/atom
raw formation energy	-2998	meV per atom

Unit cell a=6.406 b=6.406 c=6.406 alpha=60.00 beta=60.00 gamma=60.00
Sites, in units of the cell vectors:
K  0.250  0.250  0.250
K  0.750  0.750  0.750
Sc  0.000  0.000  0.000
In  0.500  0.500  0.500
F  0.778  0.778  0.222
F  0.222  0.778  0.778
F  0.222  0.222  0.778
F  0.778  0.222  0.778
F  0.222  0.778  0.222
F  0.778  0.222  0.222

***

Entry 15:
The following is a PBEsol calculation of K2TlInF6 after structural relaxation, from Alexandria.

Computed properties:
Fermi-level density of states	0.0	states/eV/f.u.
total magnetic moment	0.000	μB per atom
uncorrected energy	-4.393	eV/atom
raw formation energy	-2449	meV per atom

Unit cell a=6.550 b=6.550 c=6.550 alpha=60.00 beta=60.00 gamma=60.00
Sites, in units of the cell vectors:
Tl  0.000  0.000  0.000
F  0.276  0.724  0.276
F  0.276  0.276  0.724
F  0.724  0.724  0.276
F  0.724  0.276  0.276
F  0.276  0.724  0.724
F  0.724  0.276  0.724
K  0.250  0.250  0.250
K  0.750  0.750  0.750
In  0.500  0.500  0.500

***

Entry 16:
The following is a PBEsol calculation of LaInF2 after structural relaxation, from Alexandria.

Computed properties:
Fermi-level density of states	0.2	states/eV/f.u.
total magnetic moment	0.000	μB per atom
uncorrected energy	-5.182	eV/atom
raw formation energy	-2136	meV per atom

Unit cell a=4.630 b=4.630 c=5.089 alpha=62.94 beta=62.94 gamma=60.00
Sites, in units of the cell vectors:
F  0.822  0.822  0.533
F  0.178  0.178  0.467
In  0.500  0.500  0.500
La  0.000  0.000  0.000

***

Entry 17:
The following is a PBEsol calculation of LaIn2TcF after structural relaxation, from Alexandria.

Computed properties:
Fermi-level density of states	3.1	states/eV/f.u.
total magnetic moment	0.000	μB per atom
uncorrected energy	-5.233	eV/atom
raw formation energy	-332	meV per atom

Unit cell a=3.936 b=5.364 c=5.364 alpha=90.00 beta=90.00 gamma=90.00
Sites, in units of the cell vectors:
F  0.500  0.000  0.000
In  0.000  0.000  0.500
In  0.000  0.500  0.000
Tc  0.000  0.000  0.000
La  0.500  0.500  0.500

***

Entry 18:
The following is a PBEsol calculation of Li2InF after structural relaxation, from Alexandria.

Computed properties:
Fermi-level density of states	1.6	states/eV/f.u.
total magnetic moment	0.000	μB per atom
uncorrected energy	-2.880	eV/atom
raw formation energy	-669	meV per atom

Unit cell a=4.604 b=4.604 c=4.604 alpha=60.00 beta=60.00 gamma=60.00
Sites, in units of the cell vectors:
F  0.000  0.000  0.000
Li  0.250  0.250  0.250
Li  0.750  0.750  0.750
In  0.500  0.500  0.500

***

Entry 19:
The following is a PBEsol calculation of Na3Li3In2F12 after structural relaxation, from Alexandria.

Computed properties:
Fermi-level density of states	0.0	states/eV/f.u.
total magnetic moment	0.000	μB per atom
uncorrected energy	-4.724	eV/atom
raw formation energy	-2764	meV per atom

Unit cell a=10.958 b=10.958 c=10.958 alpha=109.47 beta=109.47 gamma=109.47
Sites, in units of the cell vectors:
Na  0.125  0.750  0.875
Na  0.125  0.375  0.750
Na  0.375  0.125  0.250
Na  0.750  0.375  0.625
Na  0.250  0.125  0.875
Na  0.375  0.250  0.625
Na  0.875  0.250  0.125
Na  0.875  0.625  0.250
Na  0.625  0.875  0.750
Na  0.250  0.625  0.375
Na  0.750  0.875  0.125
Na  0.625  0.750  0.375
Li  0.625  0.375  0.250
Li  0.375  0.625  0.750
Li  0.375  0.750  0.125
Li  0.750  0.625  0.875
Li  0.125  0.250  0.375
Li  0.250  0.875  0.625
Li  0.750  0.125  0.375
Li  0.250  0.375  0.125
Li  0.875  0.750  0.625
Li  0.625  0.250  0.875
Li  0.125  0.875  0.250
Li  0.875  0.125  0.750
In  0.500  0.000  0.500
In  0.000  0.000  0.500
In  0.500  0.000  0.000
In  0.000  0.500  0.000
In  0.000  0.000  0.000
In  0.000  0.500  0.500
In  0.500  0.500  0.000
In  0.500  0.500  0.500
F  0.317  0.024  0.402
F  0.293  0.378  0.976
F  0.476  0.293  0.878
F  0.378  0.476  0.793
F  0.598  0.476  0.683
F  0.207  0.183  0.085
F  0.293  0.915  0.817
F  0.915  0.598  0.622
F  0.902  0.585  0.878
F  0.378  0.902  0.085
F  0.915  0.317  0.793
F  0.585  0.378  0.402
F  0.183  0.598  0.976
F  0.476  0.183  0.098
F  0.317  0.293  0.415
F  0.024  0.122  0.707
F  0.122  0.207  0.524
F  0.183  0.585  0.707
F  0.122  0.915  0.098
F  0.902  0.317  0.524
F  0.598  0.122  0.415
F  0.585  0.207  0.683
F  0.024  0.902  0.817
F  0.207  0.024  0.622
F  0.683  0.976  0.598
F  0.707  0.622  0.024
F  0.524  0.707  0.122
F  0.622  0.524  0.207
F  0.402  0.524  0.317
F  0.793  0.817  0.915
F  0.707  0.085  0.183
F  0.085  0.402  0.378
F  0.098  0.415  0.122
F  0.622  0.098  0.915
F  0.085  0.683  0.207
F  0.415  0.622  0.598
F  0.817  0.402  0.024
F  0.524  0.817  0.902
F  0.683  0.707  0.585
F  0.976  0.878  0.293
F  0.878  0.793  0.476
F  0.817  0.415  0.293
F  0.878  0.085  0.902
F  0.098  0.683  0.476
F  0.402  0.878  0.585
F  0.415  0.793  0.317
F  0.976  0.098  0.183
F  0.793  0.976  0.378